# 1
This record from Alexandria via LeMat-Bulk describes a geometry-optimized CsPbAuBr2 structure. The functional is PBE-GGA.

abc: 5.7347 5.7347 12.7064
angles: 90.00 90.00 90.00
Closest atoms and distances in Å follow each position.
Element x y z (fractional)
Cs1 0.0000 0.0000 0.0000  4 Au 4.06
Pb1 0.0000 0.0000 0.5000  4 Br 2.87
Au1 0.5000 0.5000 0.0000  4 Cs 4.06
Br1 0.0000 0.5000 0.5000  2 Pb 2.87
Br2 0.5000 0.0000 0.5000  2 Pb 2.87

Summary:
* ΔE_f (raw): -0.382 eV per atom
* theoretical density: 2.8 g/cm³
* space group: No. 123
* magnetization: 0.0 Bohr magnetons per cell
* distance to the lowest polymorph of the same formula: 454 meV per atom

***

# 2
This record from Alexandria via LeMat-Bulk describes a geometry-optimized CsPb2AuBr8 structure. The functional is PBE-GGA.

abc: 7.1712 7.9465 9.4546
angles: 87.60 84.45 65.54
Closest atoms and distances in Å follow each position.
Element x y z (fractional)
Cs1 0.0000 0.0000 0.0000  6 Br 3.52-3.82
Pb1 0.0234 0.5016 0.2671  4 Br 2.86-3.11
Pb2 0.9766 0.4984 0.7329  4 Br 2.86-3.11
Au1 0.0000 0.0000 0.5000  4 Br 2.50
Br1 0.1971 0.7625 0.6744  1 Au 2.50
Br2 0.2358 0.7888 0.3088  1 Au 2.50
Br3 0.2645 0.2724 0.5137  2 Pb 2.86-3.09
Br4 0.2769 0.3219 0.9514  1 Pb 3.00
Br5 0.7231 0.6781 0.0486  1 Pb 3.00
Br6 0.7355 0.7276 0.4863  2 Pb 2.86-3.09
Br7 0.7642 0.2112 0.6912  1 Au 2.50
Br8 0.8029 0.2375 0.3256  1 Au 2.50

Summary:
* ΔE_f (raw): -0.756 eV per atom
* theoretical density: 4.7 g/cm³
* space group: No. 2
* magnetization: 0.0 Bohr magnetons per cell

***

# 3
This record from Alexandria via LeMat-Bulk describes a geometry-optimized Cs2PbAuBr6 structure. The functional is PBE-GGA.

abc: 8.0999 8.0999 8.0999
angles: 120.83 120.83 88.57
Closest atoms and distances in Å follow each position.
Element x y z (fractional)
Cs1 0.2500 0.7500 0.5000  12 Br 4.00-4.05
Cs2 0.7500 0.2500 0.5000  12 Br 4.00-4.05
Pb1 0.0000 0.0000 0.0000  6 Br 2.93
Au1 0.5000 0.5000 0.0000  6 Br 2.72-2.87
Br1 0.2524 0.2524 0.0000  1 Au 2.87, 1 Pb 2.93
Br2 0.2595 0.2595 0.5189  1 Au 2.72, 1 Pb 2.93
Br3 0.2595 0.7405 0.0000  1 Au 2.72, 1 Pb 2.93
Br4 0.7405 0.2595 0.0000  1 Au 2.72, 1 Pb 2.93
Br5 0.7405 0.7405 0.4811  1 Au 2.72, 1 Pb 2.93
Br6 0.7476 0.7476 0.0000  1 Au 2.87, 1 Pb 2.93

Summary:
* ΔE_f (raw): -1.029 eV per atom
* theoretical density: 5.1 g/cm³
* space group: No. 139
* magnetization: 0.0 Bohr magnetons per cell

***

# 4
This record from Alexandria via LeMat-Bulk describes a geometry-optimized Cs2PmAuBr6 structure. The functional is PBE-GGA.

abc: 8.1490 8.1524 8.1612
angles: 115.90 115.97 97.13
Closest atoms and distances in Å follow each position.
Element x y z (fractional)
Cs1 0.2496 0.2497 0.9998  12 Br 4.07-4.34
Cs2 0.7504 0.7503 0.0002  12 Br 4.07-4.34
Pm1 0.0000 0.5000 0.5000  6 Br 2.85-2.90
Au1 0.5000 0.0000 0.5000  2 Br 2.50
Br1 0.2322 0.7334 0.9656  1 Pm 2.85
Br2 0.2348 0.2681 0.5017  1 Pm 2.85
Br3 0.2677 0.7693 0.5001  1 Au 2.50
Br4 0.7323 0.2307 0.4999  1 Au 2.50
Br5 0.7652 0.7319 0.4983  1 Pm 2.85
Br6 0.7678 0.2666 0.0344  1 Pm 2.85

Summary:
* ΔE_f (raw): -1.460 eV per atom
* theoretical density: 4.5 g/cm³
* space group: No. 2
* magnetization: 0.0 Bohr magnetons per cell

***

# 5
This record from Alexandria via LeMat-Bulk describes a geometry-optimized CsPtAuBr6 structure. The functional is PBE-GGA.

abc: 6.9709 7.1464 7.4803
angles: 68.46 88.02 74.53
Closest atoms and distances in Å follow each position.
Element x y z (fractional)
Cs1 0.0000 0.0000 0.0000  7 Br 3.73-4.14, 1 Au 3.94
Pt1 0.5368 0.4565 0.5120  6 Br 2.48-2.61
Au1 0.2812 0.0343 0.4309  2 Br 2.47
Br1 0.1978 0.6960 0.5555  1 Au 2.47, 1 Pt 2.61
Br2 0.3712 0.3660 0.2690  1 Au 2.47, 1 Pt 2.54
Br3 0.4779 0.1513 0.7853  1 Pt 2.50
Br4 0.5855 0.7610 0.2285  1 Pt 2.51
Br5 0.7021 0.5549 0.7389  1 Pt 2.48
Br6 0.8706 0.2358 0.4704  1 Pt 2.52

Summary:
* ΔE_f (raw): -0.571 eV per atom
* theoretical density: 5.0 g/cm³
* space group: No. 1
* magnetization: 0.0 Bohr magnetons per cell

***

# 6
This record from Alexandria via LeMat-Bulk describes a geometry-optimized Cs2RbAuBr6 structure. The functional is PBE-GGA.

abc: 8.3200 8.3200 8.3200
angles: 118.46 118.46 92.70
Closest atoms and distances in Å follow each position.
Element x y z (fractional)
Cs1 0.2500 0.7500 0.5000  12 Br 4.17-4.27
Cs2 0.7500 0.2500 0.5000  12 Br 4.17-4.27
Rb1 0.0000 0.0000 0.0000  6 Br 3.24-3.25
Au1 0.5000 0.5000 0.0000  6 Br 2.49-2.78
Br1 0.2694 0.2694 0.5388  1 Au 2.78
Br2 0.2694 0.7306 0.0000  1 Au 2.78
Br3 0.2829 0.2829 0.0000  1 Au 2.49
Br4 0.7171 0.7171 0.0000  1 Au 2.49
Br5 0.7306 0.2694 0.0000  1 Au 2.78
Br6 0.7306 0.7306 0.4612  1 Au 2.78

Summary:
* ΔE_f (raw): -1.041 eV per atom
* theoretical density: 4.1 g/cm³
* space group: No. 139
* magnetization: 0.0 Bohr magnetons per cell

***

# 7
This record from Alexandria via LeMat-Bulk describes a geometry-optimized CsRb2AuBr structure. The functional is PBE-GGA.

abc: 6.6125 6.6125 6.8471
angles: 90.00 90.00 90.00
Closest atoms and distances in Å follow each position.
Element x y z (fractional)
Cs1 0.0000 0.0000 0.0000  2 Au 3.42
Rb1 0.0000 0.5000 0.5000  2 Au 3.31
Rb2 0.5000 0.0000 0.5000  2 Au 3.31
Au1 0.0000 0.0000 0.5000  4 Rb 3.31, 2 Cs 3.42
Br1 0.5000 0.5000 0.0000  4 Cs 4.68, 8 Rb 4.76

Summary:
* ΔE_f (raw): -0.589 eV per atom
* theoretical density: 3.2 g/cm³
* space group: No. 123
* magnetization: 0.0 Bohr magnetons per cell

***

# 8
This record from Alexandria via LeMat-Bulk describes a geometry-optimized Cs7RbAu2Br2 structure. The functional is PBE-GGA.

abc: 15.8255 15.8255 15.8255
angles: 153.06 38.45 153.08
Closest atoms and distances in Å follow each position.
Element x y z (fractional)
Cs1 0.0000 0.0000 0.0000  2 Au 3.67
Cs2 0.1250 0.4991 0.6259  2 Au 3.69, 1 Br 3.71
Cs3 0.2406 0.9971 0.2435  1 Au 3.61, 4 Br 3.69
Cs4 0.3726 0.4986 0.8740  2 Au 3.68-3.69, 1 Br 3.71
Cs5 0.6246 0.4986 0.1260  2 Au 3.68-3.69, 1 Br 3.71
Cs6 0.7536 0.9971 0.7565  1 Au 3.61, 4 Br 3.69
Cs7 0.8731 0.4991 0.3741  2 Au 3.69, 1 Br 3.71
Rb1 0.5007 0.0007 0.5000  12 Cs 5.21-5.27
Au1 0.1213 0.9986 0.1227  6 Cs 3.61-3.69
Au2 0.8759 0.9986 0.8773  6 Cs 3.61-3.69
Br1 0.2469 0.4969 0.7500  6 Cs 3.69-3.71
Br2 0.7469 0.4969 0.2500  6 Cs 3.69-3.71

Summary:
* ΔE_f (raw): -0.688 eV per atom
* theoretical density: 3.2 g/cm³
* space group: No. 44
* magnetization: 1.1 Bohr magnetons per cell

***

# 9
This record from Alexandria via LeMat-Bulk describes a geometry-optimized Cs2RbAuBr structure. The functional is PBE-GGA.

abc: 6.9096 6.9096 6.5158
angles: 90.00 90.00 90.00
Closest atoms and distances in Å follow each position.
Element x y z (fractional)
Cs1 0.0000 0.5000 0.0000  2 Br 3.45
Cs2 0.5000 0.0000 0.0000  2 Br 3.45
Rb1 0.0000 0.0000 0.5000  2 Br 3.26
Au1 0.5000 0.5000 0.5000  8 Cs 4.75, 4 Rb 4.89
Br1 0.0000 0.0000 0.0000  2 Rb 3.26, 4 Cs 3.45

Summary:
* ΔE_f (raw): -0.628 eV per atom
* theoretical density: 3.4 g/cm³
* space group: No. 123
* magnetization: 0.0 Bohr magnetons per cell
* distance to the lowest polymorph of the same formula: 0 meV per atom

***

# 10
This record from Alexandria via LeMat-Bulk describes a geometry-optimized CsRh2AuBr structure. The functional is PBE-GGA.

abc: 5.0948 5.0948 6.3046
angles: 90.00 90.00 90.00
Closest atoms and distances in Å follow each position.
Element x y z (fractional)
Cs1 0.0000 0.0000 0.0000  4 Rh 2.55
Rh1 0.0000 0.5000 0.0000  2 Cs 2.55
Rh2 0.5000 0.0000 0.0000  2 Cs 2.55
Au1 0.5000 0.5000 0.5000  4 Br 3.60
Br1 0.0000 0.0000 0.5000  2 Cs 3.15

Summary:
* ΔE_f (raw): 1.699 eV per atom
* theoretical density: 6.2 g/cm³
* space group: No. 123
* magnetization: 1.3 Bohr magnetons per cell

***

# 11
This record from Alexandria via LeMat-Bulk describes a geometry-optimized CsRuAu2Br structure. The functional is PBE-GGA.

abc: 5.9664 5.9664 6.4518
angles: 90.00 90.00 90.00
Closest atoms and distances in Å follow each position.
Element x y z (fractional)
Cs1 0.0000 0.0000 0.0000  4 Au 2.98, 2 Br 3.23
Ru1 0.5000 0.5000 0.5000  4 Br 4.22, 8 Au 4.39
Au1 0.0000 0.5000 0.0000  2 Cs 2.98
Au2 0.5000 0.0000 0.0000  2 Cs 2.98
Br1 0.0000 0.0000 0.5000  2 Cs 3.23

Summary:
* ΔE_f (raw): 1.649 eV per atom
* theoretical density: 5.1 g/cm³
* space group: No. 123
* magnetization: 3.3 Bohr magnetons per cell

***

Repeat the eleventh record exactly.
This record from Alexandria via LeMat-Bulk describes a geometry-optimized CsRuAu2Br structure. The functional is PBE-GGA.

abc: 5.9664 5.9664 6.4518
angles: 90.00 90.00 90.00
Closest atoms and distances in Å follow each position.
Element x y z (fractional)
Cs1 0.0000 0.0000 0.0000  4 Au 2.98, 2 Br 3.23
Ru1 0.5000 0.5000 0.5000  4 Br 4.22, 8 Au 4.39
Au1 0.0000 0.5000 0.0000  2 Cs 2.98
Au2 0.5000 0.0000 0.0000  2 Cs 2.98
Br1 0.0000 0.0000 0.5000  2 Cs 3.23

Summary:
* ΔE_f (raw): 1.649 eV per atom
* theoretical density: 5.1 g/cm³
* space group: No. 123
* magnetization: 3.3 Bohr magnetons per cell

***

Repeat the seventh record exactly.
This record from Alexandria via LeMat-Bulk describes a geometry-optimized CsRb2AuBr structure. The functional is PBE-GGA.

abc: 6.6125 6.6125 6.8471
angles: 90.00 90.00 90.00
Closest atoms and distances in Å follow each position.
Element x y z (fractional)
Cs1 0.0000 0.0000 0.0000  2 Au 3.42
Rb1 0.0000 0.5000 0.5000  2 Au 3.31
Rb2 0.5000 0.0000 0.5000  2 Au 3.31
Au1 0.0000 0.0000 0.5000  4 Rb 3.31, 2 Cs 3.42
Br1 0.5000 0.5000 0.0000  4 Cs 4.68, 8 Rb 4.76

Summary:
* ΔE_f (raw): -0.589 eV per atom
* theoretical density: 3.2 g/cm³
* space group: No. 123
* magnetization: 0.0 Bohr magnetons per cell

***

- Among the records above, which one has the lowest theoretical density?
  CsPbAuBr2